No. 1
This record from the Alexandria database describes a geometry-optimized Pm8Sm6Y structure. The functional is PBE-GGA.

It has space group R-3 (No. 148, hexagonal axes), with a = 9.2394 Å, b = 9.2394 Å, c = 21.0062 Å, α = 90.00°, β = 90.00° and γ = 120.00°. The asymmetric unit holds Pm at (0.0000, 0.0000, 0.0776), Pm at (0.0808, 0.5556, 0.3068), Sm at (0.0524, 0.2460, 0.2074) and Y at (0.0000, 0.0000, 0.5000).

As for the total energy: -4.7353 eV per atom. For the formation energy, the calculation gives 0.117 eV per atom. The value obtained for the excess energy over the best structure of this formula in the dataset is 0.000 eV/atom.



No. 2
This record from the Alexandria database describes a geometry-optimized NaAlS2N structure. The functional is PBE-GGA.

It has space group P4/mmm (No. 123), with a = 4.825 Å, b = 4.825 Å, c = 3.714 Å, α = 90.00°, β = 90.00° and γ = 90.00°. The asymmetric unit holds Na at (0.000, 0.000, 0.000), Al at (0.500, 0.500, 0.500), S at (0.000, 0.500, 0.500) and N at (0.500, 0.500, 0.000).

The uncorrected formation energy comes out at -42.1 meV per atom. As for the total energy: -4.3705 eV per atom. The value obtained for the excess energy over the best structure of this formula in the dataset is 0.000 eV/atom.



No. 3
This record from the Alexandria database describes a geometry-optimized Na2SnPdSe4 structure. The functional is PBE-GGA.

It has space group P2/m (No. 10), with a = 6.712 Å, b = 3.978 Å, c = 7.398 Å, α = 90.00°, β = 107.85° and γ = 90.00°. The asymmetric unit holds Na at (0.000, 0.000, 0.000), Na at (0.500, 0.500, 0.000), Sn at (0.000, 0.500, 0.500), Pd at (0.500, 0.000, 0.500), Se at (0.256, 0.000, 0.717) and Se at (0.275, 0.500, 0.294).

The uncorrected formation energy comes out at -599.2 meV per atom. As for the total energy: -3.8207 eV per atom.



No. 4
This record from the Alexandria database describes a geometry-optimized Mg2SiSb structure. The functional is PBE-GGA.

It has space group F-43m (No. 216), with a = 7.017 Å, b = 7.017 Å, c = 7.017 Å, α = 90.00°, β = 90.00° and γ = 90.00°. The asymmetric unit holds Mg at (0.000, 0.000, 0.000), Mg at (0.250, 0.250, 0.250), Si at (0.000, 0.000, 0.500) and Sb at (0.250, 0.250, 0.750).

The uncorrected formation energy comes out at 185.2 meV per atom. As for the total energy: -2.9985 eV per atom. The value obtained for the excess energy over the best structure of this formula in the dataset is 0.188 eV/atom.



No. 5
This record from the Alexandria database describes a geometry-optimized Y2MnWBr structure. The functional is PBE-GGA.

It has space group P4/mmm (No. 123), with a = 5.318 Å, b = 5.318 Å, c = 4.383 Å, α = 90.00°, β = 90.00° and γ = 90.00°. The asymmetric unit holds Y at (0.000, 0.500, 0.000), Mn at (0.000, 0.000, 0.000), W at (0.500, 0.500, 0.500) and Br at (0.000, 0.000, 0.500).

The uncorrected formation energy comes out at 1069.0 meV per atom. As for the total energy: -6.2758 eV per atom.



No. 6
This record from the Alexandria database describes a geometry-optimized RbLa2HfPb structure. The functional is PBE-GGA.

It has space group P4/mmm (No. 123), with a = 5.606 Å, b = 5.606 Å, c = 5.338 Å, α = 90.00°, β = 90.00° and γ = 90.00°. The asymmetric unit holds Rb at (0.000, 0.000, 0.000), La at (0.000, 0.500, 0.000), Hf at (0.000, 0.000, 0.500) and Pb at (0.500, 0.500, 0.500).

As for the total energy: -3.5947 eV per atom. For the formation energy, the calculation gives 1.302 eV per atom.



No. 7
This record from the Alexandria database describes a geometry-optimized Pm2CdSn structure. The functional is PBE-GGA.

It has space group Fm-3m (No. 225), with a = 7.647 Å, b = 7.647 Å, c = 7.647 Å, α = 90.00°, β = 90.00° and γ = 90.00°. The asymmetric unit holds Pm at (0.250, 0.250, 0.250), Cd at (0.000, 0.000, 0.000) and Sn at (0.000, 0.000, 0.500).

As for the total energy: -4.1421 eV per atom. For the formation energy, the calculation gives -0.537 eV per atom. The value obtained for the excess energy over the best structure of this formula in the dataset is 0.002 eV/atom.



Please write out number 2 again, unchanged.
This record from the Alexandria database describes a geometry-optimized NaAlS2N structure. The functional is PBE-GGA.

It has space group P4/mmm (No. 123), with a = 4.825 Å, b = 4.825 Å, c = 3.714 Å, α = 90.00°, β = 90.00° and γ = 90.00°. The asymmetric unit holds Na at (0.000, 0.000, 0.000), Al at (0.500, 0.500, 0.500), S at (0.000, 0.500, 0.500) and N at (0.500, 0.500, 0.000).

The uncorrected formation energy comes out at -42.1 meV per atom. As for the total energy: -4.3705 eV per atom. The value obtained for the excess energy over the best structure of this formula in the dataset is 0.000 eV/atom.



Copy entry 1 word for word.
This record from the Alexandria database describes a geometry-optimized Pm8Sm6Y structure. The functional is PBE-GGA.

It has space group R-3 (No. 148, hexagonal axes), with a = 9.2394 Å, b = 9.2394 Å, c = 21.0062 Å, α = 90.00°, β = 90.00° and γ = 120.00°. The asymmetric unit holds Pm at (0.0000, 0.0000, 0.0776), Pm at (0.0808, 0.5556, 0.3068), Sm at (0.0524, 0.2460, 0.2074) and Y at (0.0000, 0.0000, 0.5000).

As for the total energy: -4.7353 eV per atom. For the formation energy, the calculation gives 0.117 eV per atom. The value obtained for the excess energy over the best structure of this formula in the dataset is 0.000 eV/atom.